Computed, not measured: an optimized crystal structure of AcMgPt at the PBE level of DFT.

Calculated values
Volume ... 302.3 Å³ per cell
Density ... 9.81 Mg/m³
E above lowest polymorph ... 0.0000 eV/atom
Uncorrected energy ... -4.780 eV per atom

The structure in CIF format:
```
data_AcMgPt
_space_group_name_H-M_alt 'P n m a'
_space_group_IT_number 62
_cell_length_a 7.614
_cell_length_b 4.386
_cell_length_c 9.053
_cell_angle_alpha 90.00
_cell_angle_beta 90.00
_cell_angle_gamma 90.00
loop_
_space_group_symop_operation_xyz
'x,y,z'
'-x,-y,-z'
'-x+1/2,-y,z+1/2'
'x+1/2,y,-z+1/2'
'x+1/2,-y+1/2,-z+1/2'
'-x+1/2,y+1/2,z+1/2'
'-x,y+1/2,-z'
'x,-y+1/2,z'
loop_
_atom_site_label
_atom_site_type_symbol
_atom_site_fract_x
_atom_site_fract_y
_atom_site_fract_z
Ac1 Ac 0.040 0.250 0.182
Mg1 Mg 0.130 0.250 0.556
Pt1 Pt 0.240 0.750 0.380
```